# 1
Cs2Tl2Cu | PBE-GGA | relaxed

Structure (POSCAR):
```
Cs2Tl2Cu
1.0
7.722 0.000 0.000
0.000 7.722 0.000
0.000 0.000 6.582
Tl Cs Cu
4 4 2
Direct
0.355 0.855 0.000 Tl
0.855 0.645 0.000 Tl
0.645 0.145 0.000 Tl
0.145 0.355 0.000 Tl
0.816 0.316 0.500 Cs
0.684 0.816 0.500 Cs
0.316 0.184 0.500 Cs
0.184 0.684 0.500 Cs
0.500 0.500 0.000 Cu
0.000 0.000 0.000 Cu
```

Values from the calculation:
- Uncorrected energy: -1.90 eV per atom
- Spin magnetization: 0.0 μB/cell
- Calculated volume: 392 Å³/cell

# 2
CsTl2Cu2 | PBE-GGA | relaxed

Structure (POSCAR):
```
CsTl2Cu2
1.0
-6.155 1.689 -6.269
-6.485 -1.189 6.047
0.117 3.310 0.777
Tl Cu Cs
4 4 2
Direct
0.371 0.871 0.000 Tl
0.871 0.629 0.000 Tl
0.129 0.371 0.000 Tl
0.629 0.129 0.000 Tl
0.155 0.655 0.500 Cu
0.345 0.155 0.500 Cu
0.845 0.345 0.500 Cu
0.655 0.845 0.500 Cu
0.000 0.000 0.000 Cs
0.500 0.500 0.000 Cs
```

Values from the calculation:
- Spin magnetization: 0.0 μB/cell
- Distance to the lowest polymorph of the same formula: 0.191 eV per atom
- Calculated volume: 272 Å³/cell